Entry 1:
A plane-wave DFT calculation with PBE was carried out for a relaxed structure of RbBa4Br8.

Values from the calculation:
Crystal system: cubic
Total energy, eV/atom: -3.649
SG: Pm-3m
Formation energy from raw total energies, eV per atom: -1.953

```
RbBa4Br8
1.0
-7.176 -3.318 -0.490
3.191 -6.396 -3.413
1.034 -3.290 7.131
Br Rb Ba
8 1 4
Direct
0.251 0.749 0.749
0.749 0.749 0.749
0.251 0.251 0.749
0.251 0.749 0.251
0.749 0.749 0.251
0.251 0.251 0.251
0.749 0.251 0.749
0.749 0.251 0.251
0.500 0.500 0.500
0.000 0.500 0.500
0.000 0.000 0.000
0.500 0.500 0.000
0.500 0.000 0.500
```

---

Entry 2:
A plane-wave DFT calculation with PBE was carried out for a relaxed structure of SbTe3Ru.

Values from the calculation:
Crystal system: cubic
Total energy, eV/atom: -4.118
SG: Pm-3m
Offset from the most stable computed form, eV per formula unit: 0.00
Formation energy from raw total energies, eV per atom: 0.446

```
SbTe3Ru
1.0
5.205 0.000 0.000
0.000 5.205 0.000
0.000 0.000 5.205
Te Ru Sb
3 1 1
Direct
0.000 0.500 0.000
0.000 0.000 0.500
0.500 0.000 0.000
0.000 0.000 0.000
0.500 0.500 0.500
```

---

Entry 3:
A plane-wave DFT calculation with PBE was carried out for a relaxed structure of Sc3As2.

Values from the calculation:
Crystal system: orthorhombic
Total energy, eV/atom: -6.816
Formation energy, meV/atom: -1157
SG: Pnma
Offset from the most stable computed form, eV per formula unit: 0.07

```
Sc3As2
1.0
-1.787 1.913 2.805
-8.573 0.679 -5.924
-3.413 -8.930 3.916
Sc As
12 8
Direct
0.250 0.223 0.203
0.250 0.048 0.868
0.750 0.952 0.132
0.750 0.452 0.368
0.750 0.628 0.064
0.750 0.277 0.703
0.250 0.372 0.936
0.250 0.872 0.564
0.750 0.128 0.436
0.250 0.723 0.297
0.750 0.777 0.797
0.250 0.548 0.632
0.750 0.187 0.004
0.250 0.313 0.504
0.750 0.687 0.496
0.750 0.514 0.821
0.250 0.813 0.996
0.750 0.014 0.679
0.250 0.486 0.179
0.250 0.986 0.321
```

---

Entry 4:
A plane-wave DFT calculation with PBE was carried out for a relaxed structure of Ho3UPa2P6.

Values from the calculation:
Crystal system: monoclinic
Total energy, eV/atom: -7.771
Formation energy, meV/atom: -1399
SG: C2/m

```
Ho3UPa2P6
1.0
-3.139 2.202 -1.000
0.746 -2.366 -7.548
-3.693 -7.031 3.964
P Ho Pa U
6 3 2 1
Direct
0.666 0.083 0.331
0.000 0.753 0.000
0.334 0.917 0.669
0.000 0.247 0.000
0.332 0.419 0.665
0.668 0.581 0.335
0.167 0.833 0.335
0.833 0.167 0.665
0.500 0.500 0.000
0.835 0.669 0.669
0.165 0.331 0.331
0.500 0.000 0.000
```

---

Entry 5:
A plane-wave DFT calculation with PBE was carried out for a relaxed structure of YMg3Pb3.

Values from the calculation:
Crystal system: orthorhombic
Total energy, eV/atom: -3.272
Formation energy, meV/atom: -76
SG: Cmmm

```
YMg3Pb3
1.0
-3.096 6.158 1.703
-4.824 -3.777 3.586
4.388 0.444 6.372
Pb Y Mg
6 2 6
Direct
0.500 0.000 0.741
0.000 0.000 0.740
0.500 0.000 0.259
0.000 0.500 0.741
0.000 0.500 0.259
0.000 0.000 0.260
0.717 0.717 0.000
0.283 0.283 0.000
0.711 0.289 0.500
0.756 0.244 0.000
0.289 0.711 0.500
0.269 0.269 0.500
0.731 0.731 0.500
0.244 0.756 0.000
```